# CdC | the Alexandria database | PBE | optimized geometry
data_CdC
_space_group_name_H-M_alt 'C m m m'
_space_group_IT_number 65
_space_group_name_Hall '-C 2 2'
_cell_length_a 3.7421
_cell_length_b 5.0324
_cell_length_c 3.0698
_cell_angle_alpha 90.00
_cell_angle_beta 90.00
_cell_angle_gamma 90.00
loop_
_atom_site_label
_atom_site_type_symbol
_atom_site_fract_x
_atom_site_fract_y
_atom_site_fract_z
Cd1 Cd 0.0000 0.0000 0.0000
C1 C 0.0000 0.5000 0.5000
# - M_tot (μB/cell) = 0.00
# - V (Å³ per atom) = 14.45
# - formation energy (eV per atom) = 2.133
# - N(E_F) (states/eV/f.u.) = 1.258
# - final energy (eV for the cell shown) = -11.744